{"formula": "La7Pm12Th", "functional": "PBE-GGA", "state": "relaxed", "n_ef_per_ev_atom": 1.9354, "e_tot_ev_per_atom": -4.3658, "formation_energy_ev_per_atom": 0.5801, "space_group": "No. 204", "lattice": [[-5.816, 5.816, 5.816], [5.816, -5.816, 5.816], [5.816, 5.816, -5.816]], "species": ["La", "La", "La", "La", "La", "La", "La", "Pm", "Pm", "Pm", "Pm", "Pm", "Pm", "Pm", "Pm", "Pm", "Pm", "Pm", "Pm", "Th"], "fractional_positions": [[0.000, 0.000, 0.500], [0.000, 0.500, 0.000], [0.000, 0.500, 0.500], [0.500, 0.000, 0.000], [0.500, 0.000, 0.500], [0.500, 0.500, 0.000], [0.500, 0.500, 0.500], [0.009, 0.230, 0.779], [0.221, 0.451, 0.230], [0.221, 0.991, 0.770], [0.230, 0.221, 0.451], [0.230, 0.779, 0.009], [0.451, 0.230, 0.221], [0.549, 0.770, 0.779], [0.770, 0.221, 0.991], [0.770, 0.779, 0.549], [0.779, 0.009, 0.230], [0.779, 0.549, 0.770], [0.991, 0.770, 0.221], [0.000, 0.000, 0.000]]}